A relaxed NaPuAgPb crystal, computed with PBE.

a b c (Å): 7.469 7.469 7.469
angles (deg): 90.00 90.00 90.00
Space group F-43m (No. 216)
Asymmetric unit:
Na  0.000  0.000  0.000 [4 per cell]
Pu  0.000  0.000  0.500 [4 per cell]
Ag  0.250  0.250  0.750 [4 per cell]
Pb  0.250  0.250  0.250 [4 per cell]

Output
Its total energy is -88.43 eV/cell. The calculation puts the total magnetization at 5.58 μB/f.u.

---

A relaxed YAl2Cu5 crystal, computed with PBE.

a b c (Å): 3.736 6.815 9.857
angles (deg): 90.00 90.00 90.00
Space group Immm (No. 71)
Asymmetric unit:
Y  0.000  0.000  0.000 [2 per cell]
Al  0.000  0.500  0.248 [4 per cell]
Cu  0.000  0.187  0.369 [8 per cell]
Cu  0.000  0.500  0.000 [2 per cell]

Output
Its total energy is -72.01 eV/cell. The calculation puts the total magnetization at 0.00 μB/f.u.

---

A relaxed Rb3Ac3BiS8 crystal, computed with PBE.

a b c (Å): 8.7227 8.7227 23.5904
angles (deg): 90.00 90.00 120.00
Space group R-3m (No. 166, hexagonal axes)
Asymmetric unit:
Rb  0.0000  0.5000  0.0000 [9 per cell]
Ac  0.0000  0.5000  0.5000 [9 per cell]
Bi  0.0000  0.0000  0.5000 [3 per cell]
S  0.0000  0.0000  0.2340 [6 per cell]
S  0.0233  0.5117  0.2312 [18 per cell]

Output
The calculation puts the total magnetization at 0.00 μB/f.u. The value obtained for the uncorrected formation energy is -145.2 kJ per mole of atoms.

---

A relaxed Ba3NiSn4 crystal, computed with PBE.

a b c (Å): 6.544 12.763 6.422
angles (deg): 90.00 90.00 90.00
Space group Pmmn (No. 59, origin choice 2)
Asymmetric unit:
Ba  0.250  0.005  0.172 [4 per cell]
Ba  0.250  0.750  0.531 [2 per cell]
Ni  0.250  0.250  0.331 [2 per cell]
Sn  0.012  0.250  0.994 [4 per cell]
Sn  0.250  0.123  0.655 [4 per cell]

Output
Its total energy is -63.15 eV/cell. The calculation puts the total magnetization at 0.00 μB/f.u.

---

A relaxed Tb4InCuRu2 crystal, computed with PBE.

a b c (Å): 4.9853 4.9853 24.4028
angles (deg): 90.00 90.00 120.00
Space group R-3m (No. 166, hexagonal axes)
Asymmetric unit:
Tb  0.0000  0.0000  0.1191 [6 per cell]
Tb  0.0000  0.0000  0.3703 [6 per cell]
In  0.0000  0.0000  0.5000 [3 per cell]
Cu  0.0000  0.0000  0.0000 [3 per cell]
Ru  0.0000  0.0000  0.2483 [6 per cell]

Output
Its total energy is -139.20 eV/cell. The calculation puts the total magnetization at 0.00 μB/f.u.

---

A relaxed Sm7YHo3 crystal, computed with PBE.

a b c (Å): 12.749 11.254 5.860
angles (deg): 90.00 117.27 90.00
Space group C2/m (No. 12)
Asymmetric unit:
Sm  0.000  0.000  0.000 [2 per cell]
Sm  0.195  0.293  0.695 [8 per cell]
Sm  0.208  0.500  0.206 [4 per cell]
Y  0.000  0.000  0.500 [2 per cell]
Ho  0.000  0.295  0.000 [4 per cell]
Ho  0.000  0.500  0.500 [2 per cell]

Output
The calculation puts the total magnetization at 0.21 μB/f.u. For the offset from the most stable computed form, the calculation gives 1.300 eV/f.u.